# SrNd2Tl, optimized geometry, DFT PBE
data_SrNd2Tl
_symmetry_space_group_name_H-M 'P 4/m m m'
_symmetry_Int_Tables_number 123
_symmetry_space_group_name_Hall '-P 4 2'
_cell_length_a 3.810
_cell_length_b 3.810
_cell_length_c 10.139
_cell_angle_alpha 90.00
_cell_angle_beta 90.00
_cell_angle_gamma 90.00
loop_
_atom_site_label
_atom_site_type_symbol
_atom_site_fract_x
_atom_site_fract_y
_atom_site_fract_z
_atom_site_occupancy
Sr1 Sr 0.000 0.000 0.000 1
Nd1 Nd 0.500 0.500 0.301 1
Tl1 Tl 0.000 0.000 0.500 1
# Energy above the lowest structure with this stoichiometry in kJ/mol of atoms: 2.45
# Raw total energy in eV per cell: -13.89
# Calculated formation energy in eV/atom: -0.076

# MgInTc2Au, optimized geometry, DFT PBE
data_MgInTc2Au
_symmetry_space_group_name_H-M 'P 4/m m m'
_symmetry_Int_Tables_number 123
_symmetry_space_group_name_Hall '-P 4 2'
_cell_length_a 5.013
_cell_length_b 5.013
_cell_length_c 4.788
_cell_angle_alpha 90.00
_cell_angle_beta 90.00
_cell_angle_gamma 90.00
loop_
_atom_site_label
_atom_site_type_symbol
_atom_site_fract_x
_atom_site_fract_y
_atom_site_fract_z
_atom_site_occupancy
Mg1 Mg 0.000 0.000 0.000 1
In1 In 0.500 0.500 0.000 1
Tc1 Tc 0.000 0.500 0.500 1
Au1 Au 0.000 0.000 0.500 1
# Energy above the lowest structure with this stoichiometry in kJ/mol of atoms: 0.00
# Raw total energy in eV per cell: -21.95
# Calculated formation energy in eV/atom: 1.279

# CuReW2, optimized geometry, DFT PBE
data_CuReW2
_symmetry_space_group_name_H-M 'P m m 2'
_symmetry_Int_Tables_number 25
_cell_length_a 2.627
_cell_length_b 4.154
_cell_length_c 5.559
_cell_angle_alpha 90.00
_cell_angle_beta 90.00
_cell_angle_gamma 90.00
loop_
_symmetry_equiv_pos_as_xyz
'x,y,z'
'-x,-y,z'
'-x,y,z'
'x,-y,z'
loop_
_atom_site_label
_atom_site_type_symbol
_atom_site_fract_x
_atom_site_fract_y
_atom_site_fract_z
_atom_site_occupancy
Cu1 Cu 0.000 0.000 0.000 1
Re1 Re 0.500 0.500 0.236 1
W1 W 0.000 0.000 0.493 1
W2 W 0.500 0.500 0.764 1
# Energy above the lowest structure with this stoichiometry in kJ/mol of atoms: 9.29
# Raw total energy in eV per cell: -41.17
# Calculated formation energy in eV/atom: 0.320

# NaAg3Rh, optimized geometry, DFT PBE
data_NaAg3Rh
_symmetry_space_group_name_H-M 'P m -3 m'
_symmetry_Int_Tables_number 221
_symmetry_space_group_name_Hall '-P 4 2 3'
_cell_length_a 5.109
_cell_length_b 5.109
_cell_length_c 5.109
_cell_angle_alpha 90.00
_cell_angle_beta 90.00
_cell_angle_gamma 90.00
loop_
_atom_site_label
_atom_site_type_symbol
_atom_site_fract_x
_atom_site_fract_y
_atom_site_fract_z
_atom_site_occupancy
Na1 Na 0.000 0.000 0.000 1
Ag1 Ag 0.000 0.500 0.500 1
Rh1 Rh 0.500 0.500 0.500 1
# Energy above the lowest structure with this stoichiometry in kJ/mol of atoms: 0.00
# Raw total energy in eV per cell: -14.07
# Calculated formation energy in eV/atom: 0.631

# MgZn3I, optimized geometry, DFT PBE
data_MgZn3I
_symmetry_space_group_name_H-M 'P m -3 m'
_symmetry_Int_Tables_number 221
_symmetry_space_group_name_Hall '-P 4 2 3'
_cell_length_a 5.350
_cell_length_b 5.350
_cell_length_c 5.350
_cell_angle_alpha 90.00
_cell_angle_beta 90.00
_cell_angle_gamma 90.00
loop_
_atom_site_label
_atom_site_type_symbol
_atom_site_fract_x
_atom_site_fract_y
_atom_site_fract_z
_atom_site_occupancy
Mg1 Mg 0.000 0.000 0.000 1
Zn1 Zn 0.000 0.000 0.500 1
I1 I 0.500 0.500 0.500 1
# Energy above the lowest structure with this stoichiometry in kJ/mol of atoms: 0.00
# Formation energy without anion corrections in eV per atom: 0.3126
# Raw total energy in eV per cell: -5.40

# MgHg5, optimized geometry, DFT PBE
data_MgHg5
_symmetry_space_group_name_H-M 'A m m 2'
_symmetry_Int_Tables_number 38
_cell_length_a 5.301
_cell_length_b 3.639
_cell_length_c 15.286
_cell_angle_alpha 90.00
_cell_angle_beta 90.00
_cell_angle_gamma 90.00
loop_
_symmetry_equiv_pos_as_xyz
'x,y,z'
'-x,-y,z'
'-x,y,z'
'x,-y,z'
'x,y+1/2,z+1/2'
'-x,-y+1/2,z+1/2'
'-x,y+1/2,z+1/2'
'x,-y+1/2,z+1/2'
loop_
_atom_site_label
_atom_site_type_symbol
_atom_site_fract_x
_atom_site_fract_y
_atom_site_fract_z
_atom_site_occupancy
Mg1 Mg 0.000 0.000 0.000 1
Hg1 Hg 0.000 0.000 0.340 1
Hg2 Hg 0.000 0.000 0.662 1
Hg3 Hg 0.500 0.000 0.215 1
Hg4 Hg 0.500 0.000 0.545 1
Hg5 Hg 0.500 0.000 0.881 1
# Raw total energy in eV per cell: -6.51
# Calculated formation energy in eV/atom: -0.025

In the order shown, the computed spin magnetization values come out to 0.002, 4.678, 0.000, 0.468, 0.000, 0.000 μB per formula unit.